No. 1
First-principles (PBE) data for an optimized crystal structure of Pm8Zn2Ni, as listed in Alexandria via LeMat-Bulk.

Values from the calculation:
Space group: C2/m, No. 12
Total energy (eV/atom): -4.338
Energy relative to the elements (eV per atom): -0.13
Density (g cm⁻³): 7.2

```
Pm8Zn2Ni
1.0
-5.119 0.363 -0.734
0.272 -5.141 -4.444
1.143 -4.526 8.101
Pm Zn Ni
8 2 1
Cartesian
-1.011 -6.436 3.870
0.139 -4.226 -3.062
-2.693 -2.869 -0.947
-0.488 -3.376 1.732
-2.736 -6.104 -2.246
-3.216 -5.929 1.190
-3.843 -5.079 5.985
-0.968 -3.200 5.169
-0.344 -5.508 -0.322
-3.360 -3.797 3.245
-2.560 0.182 -0.367
```

No. 2
First-principles (PBE) data for an optimized crystal structure of Pm3Zn3Ni2, as listed in Alexandria via LeMat-Bulk.

Values from the calculation:
Space group: Cmcm, No. 63
ΔE to the lowest computed polymorph (meV per atom): 0.0
Total energy (eV/atom): -4.062
Energy relative to the elements (eV per atom): -0.36
Density (g cm⁻³): 7.5

```
Pm3Zn3Ni2
1.0
-2.231 -1.330 -3.467
4.800 -2.530 0.588
-6.686 -10.730 8.421
Pm Zn Ni
6 6 4
Cartesian
1.264 -4.457 -1.810
-2.301 -10.401 5.472
-3.436 -7.012 4.903
-1.816 -4.190 0.070
-5.381 -10.134 7.352
-0.681 -7.578 0.640
-3.246 -6.455 1.859
-3.707 -12.686 7.254
-0.871 -8.136 3.683
0.793 -4.819 1.339
-4.910 -9.771 4.203
-0.410 -1.904 -1.712
-3.010 -9.037 2.699
-4.937 -12.129 5.125
-1.107 -5.554 2.844
0.820 -2.462 0.417
```

No. 3
First-principles (PBE) data for an optimized crystal structure of Pm3Zn2Ni4, as listed in Alexandria via LeMat-Bulk.

Values from the calculation:
Space group: C2/m, No. 12
Total energy (eV/atom): -4.822
Energy relative to the elements (eV per atom): -0.39
Density (g cm⁻³): 7.9

```
Pm3Zn2Ni4
1.0
-0.721 -1.618 -3.770
5.104 -0.435 1.512
-2.857 -6.981 3.542
Zn Ni Pm
2 4 3
Cartesian
2.408 -2.327 0.538
-0.882 -6.707 0.746
2.551 -4.401 -0.900
-0.085 -7.062 3.047
-1.024 -4.634 2.184
1.611 -1.972 -1.763
1.780 -5.281 1.926
-0.254 -3.753 -0.642
0.000 0.000 0.000
```

Which formula does entry 2 have?
Pm3Zn3Ni2